Computed, not measured: an optimized crystal structure of KMo4Ir at the PBE level of DFT.

Cell: 5.3318 5.3318 5.3318 Å, 60.00 60.00 60.00°
Atoms (fractional coordinates):
1 K 0.0000 0.0000 0.0000
2 Mo 0.1232 0.6256 0.6256
3 Mo 0.6256 0.1232 0.6256
4 Mo 0.6256 0.6256 0.1232
5 Mo 0.6256 0.6256 0.6256
6 Ir 0.2500 0.2500 0.2500

Summary:
Formation energy from the elements, meV/atom: 961.4

***

Computed, not measured: an optimized crystal structure of SrLaB at the PBE level of DFT.

Cell: 3.3673 5.4615 10.6095 Å, 87.29 81.92 72.05°
Atoms (fractional coordinates):
1 Sr 0.0000 0.0000 0.0000
2 Sr 0.3918 0.4908 0.7348
3 La 0.1072 0.4948 0.2471
4 La 0.7516 0.9905 0.4801
5 B 0.0140 0.4534 0.4992
6 B 0.4976 0.5162 0.4649

Summary:
Formation energy from the elements, meV/atom: 59.6
ΔE to the lowest computed polymorph, eV/f.u.: 0.118

***

Computed, not measured: an optimized crystal structure of PmEuPt at the PBE level of DFT.

Cell: 4.2279 4.2279 6.5706 Å, 90.00 90.00 120.00°
Atoms (fractional coordinates):
1 Pm 0.0000 0.0000 0.0000
2 Eu 0.3333 0.6667 0.5227
3 Pt 0.6667 0.3333 0.7805

Summary:
Formation energy from the elements, meV/atom: -704.0
ΔE to the lowest computed polymorph, eV/f.u.: 0.069

***

Computed, not measured: an optimized crystal structure of Tb2Nd6Sm3Dy at the PBE level of DFT.

Cell: 6.3107 6.3107 11.9999 Å, 95.02 95.02 120.00°
Atoms (fractional coordinates):
1 Tb 0.1667 0.8333 0.0000
2 Tb 0.8333 0.1667 0.0000
3 Nd 0.0837 0.4169 0.7521
4 Nd 0.2498 0.2498 0.2479
5 Nd 0.4169 0.0837 0.7521
6 Nd 0.5831 0.9163 0.2479
7 Nd 0.7502 0.7502 0.7521
8 Nd 0.9163 0.5831 0.2479
9 Sm 0.0000 0.0000 0.5000
10 Sm 0.3334 0.6666 0.5000
11 Sm 0.6666 0.3334 0.5000
12 Dy 0.5000 0.5000 0.0000

Summary:
Formation energy from the elements, meV/atom: 12.1

***

Computed, not measured: an optimized crystal structure of ReNi2As at the PBE level of DFT.

Cell: 4.6492 4.6492 4.6492 Å, 137.83 128.79 68.43°
Atoms (fractional coordinates):
1 Re 0.0000 0.0000 0.0000
2 Ni 0.4640 0.4640 0.0000
3 Ni 0.7223 0.2223 0.5000
4 As 0.2480 0.7480 0.5000

Summary:
Formation energy from the elements, meV/atom: 173.5

***

Computed, not measured: an optimized crystal structure of NaSrBr2O6 at the PBE level of DFT.

Cell: 7.1390 7.1390 7.9969 Å, 96.29 96.29 111.92°
Atoms (fractional coordinates):
1 Na 0.1374 0.8626 0.7500
2 Na 0.8626 0.1374 0.2500
3 Sr 0.4312 0.5688 0.2500
4 Sr 0.5688 0.4312 0.7500
5 Br 0.0862 0.3522 0.8444
6 Br 0.3522 0.0862 0.3444
7 Br 0.6478 0.9138 0.6556
8 Br 0.9138 0.6478 0.1556
9 O 0.0405 0.4841 0.2054
10 O 0.1734 0.2072 0.6987
11 O 0.2072 0.1734 0.1987
12 O 0.3235 0.5423 0.9250
13 O 0.4577 0.6765 0.5750
14 O 0.4841 0.0405 0.7054
15 O 0.5159 0.9595 0.2946
16 O 0.5423 0.3235 0.4250
17 O 0.6765 0.4577 0.0750
18 O 0.7928 0.8266 0.8013
19 O 0.8266 0.7928 0.3013
20 O 0.9595 0.5159 0.7946

Summary:
Formation energy from raw total energies, eV/f.u.: -7.029

***

Listing volume for the structures above in their given order: 107 184 102 407 52 371 Å³/cell.